# SCAN NdMn2O5, single point on PBEsol structure
# V = 11.37 A^3/atom
# ρ = 6.10 g/cm3
# Raw formation energy = -2.77 eV/atom
data_NdMn2O5
_cell_length_a 7.435
_cell_length_b 8.598
_cell_length_c 5.690
_cell_angle_alpha 90.00
_cell_angle_beta 90.00
_cell_angle_gamma 90.00
_symmetry_space_group_name_H-M 'P b a m'
_symmetry_Int_Tables_number 55
_symmetry_space_group_name_Hall '-P 2 2ab'
loop_
_atom_site_label
_atom_site_fract_x
_atom_site_fract_y
_atom_site_fract_z
_atom_site_occupancy
Nd1 0.141 0.173 0.000 1
Mn1 0.000 0.500 0.257 1
Mn2 0.090 0.851 0.500 1
O1 0.000 0.000 0.277 1
O2 0.098 0.707 0.251 1
O3 0.155 0.438 0.500 1
O4 0.159 0.449 0.000 1